--- a ---
Compound: PPd3
Source: the Alexandria database
Functional: PBE-GGA
Structure: relaxed

Cell lengths 5.5543, 5.5543, 4.7422 Å; angles 90.00, 90.00, 120.00 degrees
Space group P6_3 (No. 173)
Asymmetric unit:
P 0.3333 0.6667 0.0000 x2
Pd 0.0418 0.7186 0.3192 x6

Output
- DOS(E_F): 2.31 states/eV/cell
- M_tot: 0.0 μB per cell

--- b ---
Compound: PPd3
Source: the Alexandria database
Functional: PBE-GGA
Structure: relaxed

Cell lengths 5.971, 7.583, 5.289 Å; angles 90.00, 90.00, 90.00 degrees
Space group Pnma (No. 62)
Asymmetric unit:
P 0.119 0.250 0.042 x4
Pd 0.025 0.750 0.368 x4
Pd 0.175 0.563 0.835 x8

Output
- DOS(E_F): 6.30 states/eV/cell
- M_tot: 0.0 μB per cell

--- c ---
Compound: PPd3
Source: the Alexandria database
Functional: PBE-GGA
Structure: relaxed

Cell lengths 9.854, 9.854, 4.822 Å; angles 90.00, 90.00, 90.00 degrees
Space group I-4 (No. 82)
Asymmetric unit:
P 0.033 0.219 0.240 x8
Pd 0.024 0.136 0.737 x8
Pd 0.086 0.609 0.510 x8
Pd 0.177 0.715 0.015 x8

Output
- DOS(E_F): 12.66 states/eV/cell
- M_tot: 0.0 μB per cell

--- d ---
Compound: PPd3
Source: the Alexandria database
Functional: PBE-GGA
Structure: relaxed

Cell lengths 3.165, 8.074, 4.750 Å; angles 90.00, 90.00, 90.00 degrees
Space group Imm2 (No. 44)
Asymmetric unit:
P 0.000 0.000 0.000 x2
Pd 0.000 0.301 0.354 x4
Pd 0.000 0.500 0.866 x2

Output
- DOS(E_F): 4.00 states/eV/cell
- M_tot: 0.0 μB per cell

Which is most stable, and by how much? b, by 3.7 kJ/mol of atoms.

--- a ---
Compound: PmPPd
Source: the Alexandria database
Functional: PBE-GGA
Structure: relaxed

Cell lengths 4.2244, 4.2244, 7.7794 Å; angles 90.00, 90.00, 120.00 degrees
Space group P6_3/mmc (No. 194)
Asymmetric unit:
Pm 0.0000 0.0000 0.0000 x2
P 0.3333 0.6667 0.2500 x2
Pd 0.3333 0.6667 0.7500 x2

Output
- DOS(E_F): 2.00 states/eV/cell
- M_tot: 0.0 μB per cell

--- b ---
Compound: PmPPd
Source: the Alexandria database
Functional: PBE-GGA
Structure: relaxed

Cell lengths 3.976, 3.976, 8.146 Å; angles 90.00, 90.00, 90.00 degrees
Space group I4mm (No. 107)
Asymmetric unit:
Pm 0.000 0.000 0.000 x2
P 0.000 0.000 0.651 x2
Pd 0.000 0.000 0.356 x2

Output
- DOS(E_F): 1.53 states/eV/cell
- M_tot: 0.0 μB per cell

--- c ---
Compound: PmPPd
Source: the Alexandria database
Functional: PBE-GGA
Structure: relaxed

Cell lengths 6.384, 6.384, 6.384 Å; angles 90.00, 90.00, 90.00 degrees
Space group F-43m (No. 216)
Asymmetric unit:
Pm 0.000 0.000 0.000 x4
P 0.000 0.000 0.500 x4
Pd 0.250 0.250 0.750 x4

Output
- M_tot: 0.0 μB per cell

Which is most stable, and by how much? a, by 25.4 kJ/mol of atoms.

--- a ---
Compound: PmP2Pd
Source: the Alexandria database
Functional: PBE-GGA
Structure: relaxed

Cell lengths 4.342, 4.342, 17.986 Å; angles 90.00, 90.00, 90.00 degrees
Space group P4_1 (No. 76)
Asymmetric unit:
Pm 0.121 0.738 0.000 x4
P 0.166 0.635 0.384 x4
P 0.185 0.404 0.734 x4
Pd 0.234 0.669 0.606 x4

Output
- DOS(E_F): 2.94 states/eV/cell
- M_tot: 0.0 μB per cell

--- b ---
Compound: PmP2Pd
Source: the Alexandria database
Functional: PBE-GGA
Structure: relaxed

Cell lengths 4.419, 4.419, 3.756 Å; angles 90.00, 90.00, 90.00 degrees
Space group P4/mmm (No. 123)
Asymmetric unit:
Pm 0.000 0.000 0.000 x1
P 0.000 0.500 0.500 x2
Pd 0.500 0.500 0.000 x1

Output
- DOS(E_F): 1.01 states/eV/cell
- M_tot: 0.0 μB per cell

Which is most stable, and by how much? a, by 18.9 kJ/mol of atoms.

--- a ---
Compound: PmP2Pd
Source: the Alexandria database
Functional: PBE-GGA
Structure: relaxed

Cell lengths 4.0472, 4.0472, 15.9488 Å; angles 90.00, 90.00, 120.00 degrees
Space group R-3m (No. 166, hexagonal axes)
Asymmetric unit:
Pm 0.0000 0.0000 0.0000 x3
P 0.0000 0.0000 0.2297 x6
Pd 0.0000 0.0000 0.5000 x3

Output
- DOS(E_F): 6.16 states/eV/cell
- M_tot: 0.0 μB per cell

--- b ---
Compound: PmP2Pd
Source: the Alexandria database
Functional: PBE-GGA
Structure: relaxed

Cell lengths 6.655, 6.655, 6.655 Å; angles 90.00, 90.00, 90.00 degrees
Space group Fm-3m (No. 225)
Asymmetric unit:
Pm 0.000 0.000 0.000 x4
P 0.250 0.250 0.250 x8
Pd 0.000 0.000 0.500 x4

Output
- DOS(E_F): 14.89 states/eV/cell
- M_tot: 0.0 μB per cell

Which is most stable, and by how much? a, by 27.8 kJ/mol of atoms.

--- a ---
Compound: Pr3P4Pd4
Source: the Alexandria database
Functional: PBE-GGA
Structure: relaxed

Cell lengths 4.153, 4.158, 24.545 Å; angles 90.00, 90.00, 90.00 degrees
Space group Immm (No. 71)
Asymmetric unit:
Pr 0.000 0.000 0.000 x2
Pr 0.000 0.500 0.149 x4
P 0.000 0.000 0.453 x4
P 0.000 0.500 0.308 x4
Pd 0.000 0.000 0.251 x4
Pd 0.000 0.500 0.406 x4

Output
- DOS(E_F): 8.39 states/eV/cell
- M_tot: 0.0 μB per cell

--- b ---
Compound: Pr3P4Pd4
Source: the Alexandria database
Functional: PBE-GGA
Structure: relaxed

Cell lengths 4.233, 6.999, 13.957 Å; angles 90.00, 90.00, 90.00 degrees
Space group Immm (No. 71)
Asymmetric unit:
Pr 0.000 0.000 0.000 x2
Pr 0.000 0.500 0.130 x4
P 0.000 0.000 0.215 x4
P 0.000 0.183 0.500 x4
Pd 0.000 0.303 0.332 x8

Output
- DOS(E_F): 4.35 states/eV/cell
- M_tot: 0.0 μB per cell

Which is most stable, and by how much? a, by 5.7 kJ/mol of atoms.

--- a ---
Compound: PrPPd3
Source: the Alexandria database
Functional: PBE-GGA
Structure: relaxed

Cell lengths 4.630, 4.630, 4.630 Å; angles 90.00, 90.00, 90.00 degrees
Space group Pm-3m (No. 221)
Asymmetric unit:
Pr 0.000 0.000 0.000 x1
P 0.500 0.500 0.500 x1
Pd 0.000 0.500 0.500 x3

Output
- DOS(E_F): 0.80 states/eV/cell
- M_tot: 0.0 μB per cell

--- b ---
Compound: PrPPd3
Source: the Alexandria database
Functional: PBE-GGA
Structure: relaxed

Cell lengths 12.008, 10.711, 5.891 Å; angles 90.00, 94.38, 90.00 degrees
Space group C2/c (No. 15)
Asymmetric unit:
Pr 0.151 0.128 0.163 x8
P 0.000 0.102 0.750 x4
P 0.000 0.385 0.250 x4
Pd 0.075 0.283 0.575 x8
Pd 0.112 0.459 0.962 x8
Pd 0.242 0.130 0.685 x8

Output
- DOS(E_F): 13.91 states/eV/cell
- M_tot: 0.0 μB per cell

Which is most stable, and by how much? a, by 1.5 kJ/mol of atoms.

--- a ---
Compound: PrP2Pd6
Source: the Alexandria database
Functional: PBE-GGA
Structure: relaxed

Cell lengths 5.7669, 5.7669, 6.0694 Å; angles 90.00, 90.00, 120.00 degrees
Space group P6/mmm (No. 191)
Asymmetric unit:
Pr 0.0000 0.0000 0.0000 x1
P 0.3333 0.6667 0.5000 x2
Pd 0.0000 0.5000 0.2313 x6

Output
- DOS(E_F): 2.66 states/eV/cell
- M_tot: 0.0 μB per cell

--- b ---
Compound: PrP2Pd6
Source: the Alexandria database
Functional: PBE-GGA
Structure: relaxed

Cell lengths 4.131, 4.131, 8.667 Å; angles 90.00, 90.00, 90.00 degrees
Space group P4/mmm (No. 123)
Asymmetric unit:
Pr 0.000 0.000 0.000 x1
P 0.500 0.500 0.131 x2
Pd 0.000 0.000 0.500 x1
Pd 0.000 0.500 0.275 x4
Pd 0.500 0.500 0.500 x1

Output
- DOS(E_F): 6.52 states/eV/cell
- M_tot: 0.0 μB per cell

Which is most stable, and by how much? b, by 8.8 kJ/mol of atoms.

--- a ---
Compound: PrP3Pd3
Source: the Alexandria database
Functional: PBE-GGA
Structure: relaxed

Cell lengths 8.9941, 8.9941, 3.5422 Å; angles 90.00, 90.00, 120.00 degrees
Space group P6_3/m (No. 176)
Asymmetric unit:
Pr 0.3333 0.6667 0.2500 x2
P 0.0433 0.6133 0.7500 x6
Pd 0.1242 0.8539 0.2500 x6

Output
- DOS(E_F): 5.35 states/eV/cell
- M_tot: 0.0 μB per cell

--- b ---
Compound: PrP3Pd3
Source: the Alexandria database
Functional: PBE-GGA
Structure: relaxed

Cell lengths 6.556, 6.556, 6.556 Å; angles 90.00, 90.00, 90.00 degrees
Space group Pm-3n (No. 223)
Asymmetric unit:
Pr 0.000 0.000 0.000 x2
P 0.000 0.250 0.500 x6
Pd 0.000 0.500 0.250 x6

Output
- DOS(E_F): 9.09 states/eV/cell
- M_tot: 0.0 μB per cell

Which is most stable, and by how much? a, by 1.9 kJ/mol of atoms.